# GdInPdPt | the Open Quantum Materials Database | GGA-PBE | optimized geometry
# calculated total energy	-5.5552	eV/atom
# crystal system	trigonal
# size of the total moment	0.000	μB/atom
data_GdInPdPt
_space_group_name_H-M_alt 'P -3 m 1'
_space_group_IT_number 164
_space_group_name_Hall '-P 3 2"'
_cell_length_a 4.6136
_cell_length_b 4.6136
_cell_length_c 9.0437
_cell_angle_alpha 90.00
_cell_angle_beta 90.00
_cell_angle_gamma 120.00
loop_
_atom_site_label
_atom_site_type_symbol
_atom_site_fract_x
_atom_site_fract_y
_atom_site_fract_z
_atom_site_occupancy
Gd1 Gd 0.3333 0.6667 0.2554 1
In1 In 0.0000 0.0000 0.0000 1
In2 In 0.0000 0.0000 0.5000 1
Pd1 Pd 0.3333 0.6667 0.9155 1
Pt1 Pt 0.3333 0.6667 0.5930 1

---

# CdSnPt2 | the Open Quantum Materials Database | GGA-PBE | optimized geometry
# calculated total energy	-4.3576	eV/atom
# crystal system	cubic
# size of the total moment	0.000	μB/atom
data_CdSnPt2
_space_group_name_H-M_alt 'F -4 3 m'
_space_group_IT_number 216
_space_group_name_Hall 'F -4 2 3'
_cell_length_a 6.662
_cell_length_b 6.662
_cell_length_c 6.662
_cell_angle_alpha 90.00
_cell_angle_beta 90.00
_cell_angle_gamma 90.00
loop_
_atom_site_label
_atom_site_type_symbol
_atom_site_fract_x
_atom_site_fract_y
_atom_site_fract_z
_atom_site_occupancy
Cd1 Cd 0.000 0.000 0.000 1
Sn1 Sn 0.250 0.250 0.750 1
Pt1 Pt 0.000 0.000 0.500 1
Pt2 Pt 0.250 0.250 0.250 1

---

# SrMgZnGe2 | the Open Quantum Materials Database | GGA-PBE | optimized geometry
# calculated total energy	-3.1593	eV/atom
# crystal system	tetragonal
data_SrMgZnGe2
_space_group_name_H-M_alt 'I -4 m 2'
_space_group_IT_number 119
_space_group_name_Hall 'I -4 -2'
_cell_length_a 4.455
_cell_length_b 4.455
_cell_length_c 11.123
_cell_angle_alpha 90.00
_cell_angle_beta 90.00
_cell_angle_gamma 90.00
loop_
_atom_site_label
_atom_site_type_symbol
_atom_site_fract_x
_atom_site_fract_y
_atom_site_fract_z
_atom_site_occupancy
Sr1 Sr 0.000 0.000 0.000 1
Mg1 Mg 0.000 0.500 0.250 1
Zn1 Zn 0.000 0.500 0.750 1
Ge1 Ge 0.000 0.000 0.385 1

---

# DyMg | the Open Quantum Materials Database | GGA-PBE | optimized geometry
# calculated total energy	-3.1121	eV/atom
# crystal system	orthorhombic
# size of the total moment	0.001	μB/atom
data_DyMg
_space_group_name_H-M_alt 'P m m n'
_space_group_IT_number 59
_cell_length_a 3.652
_cell_length_b 5.384
_cell_length_c 11.185
_cell_angle_alpha 90.00
_cell_angle_beta 90.00
_cell_angle_gamma 90.00
loop_
_space_group_symop_operation_xyz
'x,y,z'
'-x,-y,-z'
'-x+1/2,-y+1/2,z'
'x+1/2,y+1/2,-z'
'x+1/2,-y,-z'
'-x+1/2,y,z'
'-x,y+1/2,-z'
'x,-y+1/2,z'
loop_
_atom_site_label
_atom_site_type_symbol
_atom_site_fract_x
_atom_site_fract_y
_atom_site_fract_z
_atom_site_occupancy
Dy1 Dy 0.250 0.250 0.038 1
Dy2 Dy 0.250 0.750 0.237 1
Mg1 Mg 0.250 0.250 0.511 1
Mg2 Mg 0.250 0.750 0.710 1

---

# KZrAgTe3 | the Open Quantum Materials Database | GGA-PBE | optimized geometry
# calculated total energy	-4.4205	eV/atom
# crystal system	orthorhombic
# size of the total moment	0.001	μB/atom
data_KZrAgTe3
_space_group_name_H-M_alt 'P n m a'
_space_group_IT_number 62
_space_group_name_Hall '-P 2ac 2n'
_cell_length_a 11.498
_cell_length_b 4.214
_cell_length_c 15.669
_cell_angle_alpha 90.00
_cell_angle_beta 90.00
_cell_angle_gamma 90.00
loop_
_atom_site_label
_atom_site_type_symbol
_atom_site_fract_x
_atom_site_fract_y
_atom_site_fract_z
_atom_site_occupancy
K1 K 0.236 0.250 0.009 1
Zr1 Zr 0.041 0.750 0.753 1
Ag1 Ag 0.247 0.750 0.206 1
Te1 Te 0.032 0.750 0.125 1
Te2 Te 0.046 0.250 0.620 1
Te3 Te 0.233 0.250 0.324 1

---

# Nd2Sm2C2Cl4F | the Open Quantum Materials Database | GGA-PBE | optimized geometry
# calculated total energy	-5.9790	eV/atom
# crystal system	monoclinic
# size of the total moment	0.001	μB/atom
data_Nd2Sm2C2Cl4F
_space_group_name_H-M_alt 'C 1 2/m 1'
_space_group_IT_number 12
_space_group_name_Hall '-C 2y'
_cell_length_a 18.636
_cell_length_b 3.735
_cell_length_c 7.344
_cell_angle_alpha 90.00
_cell_angle_beta 103.94
_cell_angle_gamma 90.00
loop_
_atom_site_label
_atom_site_type_symbol
_atom_site_fract_x
_atom_site_fract_y
_atom_site_fract_z
_atom_site_occupancy
Nd1 Nd 0.001 0.000 0.269 1
Sm1 Sm 0.161 0.500 0.613 1
C1 C 0.039 0.500 0.526 1
Cl1 Cl 0.160 0.000 0.888 1
Cl2 Cl 0.171 0.000 0.333 1
F1 F 0.000 0.500 0.000 1

---

# DyHoAl2Pd4 | the Open Quantum Materials Database | GGA-PBE | optimized geometry
# calculated total energy	-5.6217	eV/atom
# crystal system	hexagonal
# size of the total moment	0.001	μB/atom
data_DyHoAl2Pd4
_space_group_name_H-M_alt 'P -6 m 2'
_space_group_IT_number 187
_space_group_name_Hall 'P -6 2'
_cell_length_a 4.3631
_cell_length_b 4.3631
_cell_length_c 9.0893
_cell_angle_alpha 90.00
_cell_angle_beta 90.00
_cell_angle_gamma 120.00
loop_
_atom_site_label
_atom_site_type_symbol
_atom_site_fract_x
_atom_site_fract_y
_atom_site_fract_z
_atom_site_occupancy
Dy1 Dy 0.0000 0.0000 0.0000 1
Ho1 Ho 0.6667 0.3333 0.5000 1
Al1 Al 0.3333 0.6667 0.2501 1
Pd1 Pd 0.0000 0.0000 0.3294 1
Pd2 Pd 0.6667 0.3333 0.1708 1

---

# Ba3Nb2Se9 | the Open Quantum Materials Database | GGA-PBE | optimized geometry
# calculated total energy	-5.3522	eV/atom
# crystal system	monoclinic
# size of the total moment	0.000	μB/atom
data_Ba3Nb2Se9
_space_group_name_H-M_alt 'P 1 21/c 1'
_space_group_IT_number 14
_space_group_name_Hall '-P 2ybc'
_cell_length_a 7.416
_cell_length_b 12.519
_cell_length_c 17.776
_cell_angle_alpha 90.00
_cell_angle_beta 97.06
_cell_angle_gamma 90.00
loop_
_atom_site_label
_atom_site_type_symbol
_atom_site_fract_x
_atom_site_fract_y
_atom_site_fract_z
_atom_site_occupancy
Ba1 Ba 0.238 0.088 0.084 1
Ba2 Ba 0.245 0.061 0.418 1
Ba3 Ba 0.252 0.750 0.246 1
Nb1 Nb 0.209 0.063 0.851 1
Nb2 Nb 0.282 0.068 0.652 1
Se1 Se 0.005 0.024 0.249 1
Se2 Se 0.009 0.192 0.618 1
Se3 Se 0.014 0.651 0.579 1
Se4 Se 0.195 0.586 0.072 1
Se5 Se 0.240 0.229 0.754 1
Se6 Se 0.320 0.578 0.438 1
Se7 Se 0.455 0.212 0.878 1
Se8 Se 0.493 0.161 0.580 1
Se9 Se 0.498 0.512 0.257 1